Entry 1:
The following is a PBE-GGA calculation of crystalline HfSi2TcC at its relaxed geometry, from Alexandria.

Properties
total DFT energy (no corrections)	-38.908	eV/cell

CIF file:
```
data_HfSi2TcC
_space_group_name_H-M_alt 'P 1'
_space_group_IT_number 1
_cell_length_a 3.9377
_cell_length_b 4.3830
_cell_length_c 3.9377
_cell_angle_alpha 90.00
_cell_angle_beta 90.00
_cell_angle_gamma 90.00
loop_
_space_group_symop_operation_xyz
'x,y,z'
loop_
_atom_site_label
_atom_site_fract_x
_atom_site_fract_y
_atom_site_fract_z
C1 0.0000 0.0000 0.0000
Si1 0.0000 0.0000 0.5000
Si2 0.5000 0.0000 0.0000
Hf1 0.0000 0.5000 0.0000
Tc1 0.5000 0.5000 0.5000
```


Entry 2:
The following is a PBE-GGA calculation of crystalline Hf2ThSiC4 at its relaxed geometry, from Alexandria.

Properties
total DFT energy (no corrections)	-147.196	eV/cell

CIF file:
```
data_Hf2ThSiC4
_space_group_name_H-M_alt 'P 1'
_space_group_IT_number 1
_cell_length_a 3.3443
_cell_length_b 5.8877
_cell_length_c 11.3139
_cell_angle_alpha 90.00
_cell_angle_beta 90.00
_cell_angle_gamma 106.50
loop_
_space_group_symop_operation_xyz
'x,y,z'
loop_
_atom_site_label
_atom_site_fract_x
_atom_site_fract_y
_atom_site_fract_z
Hf1 0.3673 0.7347 0.5451
Hf2 0.6327 0.2653 0.0451
Hf3 0.6327 0.2653 0.4549
Hf4 0.3673 0.7347 0.9549
Th1 0.1034 0.2068 0.7500
Th2 0.8966 0.7932 0.2500
Si1 0.8356 0.6712 0.7500
Si2 0.1644 0.3288 0.2500
C1 0.2640 0.5280 0.1204
C2 0.7360 0.4720 0.6204
C3 0.7360 0.4720 0.8796
C4 0.2640 0.5280 0.3796
C5 0.0000 0.0000 0.5000
C6 0.0000 0.0000 0.0000
C7 0.4283 0.8566 0.7500
C8 0.5717 0.1434 0.2500
```